Entry 1:
# CeSCl2 (PBE-GGA, relaxed)
data_CeSCl2
_chemical_formula_sum 'Ce4 S4 Cl8'
_space_group_name_H-M_alt 'C m c m'
_space_group_IT_number 63
_space_group_name_Hall '-C 2c 2'
_cell_length_a 3.903
_cell_length_b 12.831
_cell_length_c 8.747
_cell_angle_alpha 90.00
_cell_angle_beta 90.00
_cell_angle_gamma 90.00
loop_
_atom_site_label
_atom_site_type_symbol
_atom_site_fract_x
_atom_site_fract_y
_atom_site_fract_z
_atom_site_occupancy
Ce1 Ce 0.000 0.235 0.250 1
S1 S 0.000 0.399 0.750 1
Cl1 Cl 0.000 0.153 0.569 1
# Formation energy from raw total energies = -1790 meV per atom
# Magnetic moment = 0.0 μB per cell
# Raw total energy = -5.229 eV/atom

Entry 2:
# Ce4S6Cl (PBE-GGA, relaxed)
data_Ce4S6Cl
_chemical_formula_sum 'Ce4 S6 Cl1'
_space_group_name_H-M_alt 'P -6 m 2'
_space_group_IT_number 187
_space_group_name_Hall 'P -6 2'
_cell_length_a 8.5505
_cell_length_b 8.5505
_cell_length_c 3.9483
_cell_angle_alpha 90.00
_cell_angle_beta 90.00
_cell_angle_gamma 120.00
loop_
_atom_site_label
_atom_site_type_symbol
_atom_site_fract_x
_atom_site_fract_y
_atom_site_fract_z
_atom_site_occupancy
Ce1 Ce 0.0000 0.0000 0.0000 1
Ce2 Ce 0.0212 0.5106 0.5000 1
S1 S 0.2073 0.4145 0.0000 1
S2 S 0.2776 0.1388 0.5000 1
Cl1 Cl 0.6667 0.3333 0.0000 1
# Formation energy from raw total energies = -1889 meV per atom
# Magnetic moment = 2.9 μB per cell
# Raw total energy = -6.466 eV/atom

Entry 3:
# Ce4SCl5 (PBE-GGA, relaxed)
data_Ce4SCl5
_chemical_formula_sum 'Ce8 S2 Cl10'
_space_group_name_H-M_alt 'C 1 2/m 1'
_space_group_IT_number 12
_cell_length_a 17.371
_cell_length_b 3.937
_cell_length_c 8.209
_cell_angle_alpha 90.00
_cell_angle_beta 102.23
_cell_angle_gamma 90.00
loop_
_space_group_symop_operation_xyz
'x,y,z'
'-x,-y,-z'
'-x,y,-z'
'x,-y,z'
'x+1/2,y+1/2,z'
'-x+1/2,-y+1/2,-z'
'-x+1/2,y+1/2,-z'
'x+1/2,-y+1/2,z'
loop_
_atom_site_label
_atom_site_type_symbol
_atom_site_fract_x
_atom_site_fract_y
_atom_site_fract_z
_atom_site_occupancy
Ce1 Ce 0.000 0.000 0.230 1
Ce2 Ce 0.162 0.500 0.075 1
S1 S 0.000 0.500 0.000 1
Cl1 Cl 0.000 0.500 0.500 1
Cl2 Cl 0.167 0.000 0.330 1
Cl3 Cl 0.168 0.000 0.816 1
# Formation energy from raw total energies = -1897 meV per atom
# Magnetic moment = 8.8 μB per cell
# Raw total energy = -5.606 eV/atom

Entry 4:
# Ce3SCl3 (PBE-GGA, relaxed)
data_Ce3SCl3
_chemical_formula_sum 'Ce24 S8 Cl24'
_space_group_name_H-M_alt 'I 41 3 2'
_space_group_IT_number 214
_space_group_name_Hall 'I 4bd 2c 3'
_cell_length_a 11.324
_cell_length_b 11.324
_cell_length_c 11.324
_cell_angle_alpha 90.00
_cell_angle_beta 90.00
_cell_angle_gamma 90.00
loop_
_atom_site_label
_atom_site_type_symbol
_atom_site_fract_x
_atom_site_fract_y
_atom_site_fract_z
_atom_site_occupancy
Ce1 Ce 0.117 0.367 0.125 1
S1 S 0.125 0.125 0.125 1
Cl1 Cl 0.118 0.132 0.625 1
# Formation energy from raw total energies = -1869 meV per atom
# Magnetic moment = 23.2 μB per cell
# Raw total energy = -5.793 eV/atom

Entry 5:
# Ce3S3Cl2 (PBE-GGA, relaxed)
data_Ce3S3Cl2
_chemical_formula_sum 'Ce6 S6 Cl4'
_space_group_name_H-M_alt 'I m m m'
_space_group_IT_number 71
_space_group_name_Hall '-I 2 2'
_cell_length_a 3.748
_cell_length_b 4.553
_cell_length_c 21.047
_cell_angle_alpha 90.00
_cell_angle_beta 90.00
_cell_angle_gamma 90.00
loop_
_atom_site_label
_atom_site_type_symbol
_atom_site_fract_x
_atom_site_fract_y
_atom_site_fract_z
_atom_site_occupancy
Ce1 Ce 0.000 0.000 0.000 1
Ce2 Ce 0.000 0.500 0.152 1
S1 S 0.000 0.000 0.500 1
S2 S 0.000 0.500 0.386 1
Cl1 Cl 0.000 0.000 0.245 1
# Formation energy from raw total energies = -1810 meV per atom
# Magnetic moment = 7.5 μB per cell
# Raw total energy = -6.044 eV/atom

Entry 6:
# Ce4Se2SCl (PBE-GGA, relaxed)
data_Ce4Se2SCl
_chemical_formula_sum 'Ce4 Se2 S1 Cl1'
_space_group_name_H-M_alt 'P 1 2/m 1'
_space_group_IT_number 10
_cell_length_a 7.089
_cell_length_b 4.118
_cell_length_c 7.126
_cell_angle_alpha 90.00
_cell_angle_beta 109.60
_cell_angle_gamma 90.00
loop_
_space_group_symop_operation_xyz
'x,y,z'
'-x,-y,-z'
'-x,y,-z'
'x,-y,z'
loop_
_atom_site_label
_atom_site_type_symbol
_atom_site_fract_x
_atom_site_fract_y
_atom_site_fract_z
_atom_site_occupancy
Ce1 Ce 0.236 0.000 0.240 1
Ce2 Ce 0.240 0.500 0.752 1
Se1 Se 0.500 0.000 0.000 1
Se2 Se 0.500 0.500 0.500 1
S1 S 0.000 0.500 0.000 1
Cl1 Cl 0.000 0.000 0.500 1
# Formation energy from raw total energies = -1771 meV per atom
# Magnetic moment = 3.0 μB per cell
# Raw total energy = -6.356 eV/atom

Entry 7:
# Ce6SiS2Cl3 (PBE-GGA, relaxed)
data_Ce6SiS2Cl3
_chemical_formula_sum 'Ce12 Si2 S4 Cl6'
_space_group_name_H-M_alt 'C 1 2/m 1'
_space_group_IT_number 12
_cell_length_a 7.049
_cell_length_b 12.228
_cell_length_c 6.995
_cell_angle_alpha 90.00
_cell_angle_beta 109.68
_cell_angle_gamma 90.00
loop_
_space_group_symop_operation_xyz
'x,y,z'
'-x,-y,-z'
'-x,y,-z'
'x,-y,z'
'x+1/2,y+1/2,z'
'-x+1/2,-y+1/2,-z'
'-x+1/2,y+1/2,-z'
'x+1/2,-y+1/2,z'
loop_
_atom_site_label
_atom_site_type_symbol
_atom_site_fract_x
_atom_site_fract_y
_atom_site_fract_z
_atom_site_occupancy
Ce1 Ce 0.239 0.000 0.238 1
Ce2 Ce 0.250 0.169 0.758 1
Si1 Si 0.000 0.500 0.000 1
S1 S 0.000 0.168 0.000 1
Cl1 Cl 0.000 0.000 0.500 1
Cl2 Cl 0.000 0.339 0.500 1
# Formation energy from raw total energies = -1536 meV per atom
# Magnetic moment = 7.2 μB per cell
# Raw total energy = -6.105 eV/atom

Entry 8:
# CeTlS2Cl (PBE-GGA, relaxed)
data_CeTlS2Cl
_chemical_formula_sum 'Ce2 Tl2 S4 Cl2'
_space_group_name_H-M_alt 'P 1 21/m 1'
_space_group_IT_number 11
_cell_length_a 8.625
_cell_length_b 4.095
_cell_length_c 8.987
_cell_angle_alpha 90.00
_cell_angle_beta 104.45
_cell_angle_gamma 90.00
loop_
_space_group_symop_operation_xyz
'x,y,z'
'-x,-y,-z'
'-x,y+1/2,-z'
'x,-y+1/2,z'
loop_
_atom_site_label
_atom_site_type_symbol
_atom_site_fract_x
_atom_site_fract_y
_atom_site_fract_z
_atom_site_occupancy
Ce1 Ce 0.175 0.250 0.169 1
Tl1 Tl 0.319 0.750 0.767 1
S1 S 0.047 0.250 0.852 1
S2 S 0.367 0.750 0.138 1
Cl1 Cl 0.242 0.250 0.470 1
# Formation energy from raw total energies = -1433 meV per atom
# Magnetic moment = 0.0 μB per cell
# Raw total energy = -5.114 eV/atom

Entry 9:
# CeSbCl6 (PBE-GGA, relaxed)
data_CeSbCl6
_chemical_formula_sum 'Ce2 Sb2 Cl12'
_space_group_name_H-M_alt 'C 1 2/m 1'
_space_group_IT_number 12
_cell_length_a 6.814
_cell_length_b 12.305
_cell_length_c 6.811
_cell_angle_alpha 90.00
_cell_angle_beta 105.67
_cell_angle_gamma 90.00
loop_
_space_group_symop_operation_xyz
'x,y,z'
'-x,-y,-z'
'-x,y,-z'
'x,-y,z'
'x+1/2,y+1/2,z'
'-x+1/2,-y+1/2,-z'
'-x+1/2,y+1/2,-z'
'x+1/2,-y+1/2,z'
loop_
_atom_site_label
_atom_site_type_symbol
_atom_site_fract_x
_atom_site_fract_y
_atom_site_fract_z
_atom_site_occupancy
Ce1 Ce 0.000 0.000 0.000 1
Sb1 Sb 0.000 0.500 0.500 1
Cl1 Cl 0.240 0.354 0.744 1
Cl2 Cl 0.249 0.000 0.741 1
# Formation energy from raw total energies = -1488 meV per atom
# Magnetic moment = 2.0 μB per cell
# Raw total energy = -4.130 eV/atom

Entry 10:
# Ce3Sb2Cl (PBE-GGA, relaxed)
data_Ce3Sb2Cl
_chemical_formula_sum 'Ce6 Sb4 Cl2'
_space_group_name_H-M_alt 'I m m m'
_space_group_IT_number 71
_space_group_name_Hall '-I 2 2'
_cell_length_a 4.397
_cell_length_b 4.407
_cell_length_c 18.508
_cell_angle_alpha 90.00
_cell_angle_beta 90.00
_cell_angle_gamma 90.00
loop_
_atom_site_label
_atom_site_type_symbol
_atom_site_fract_x
_atom_site_fract_y
_atom_site_fract_z
_atom_site_occupancy
Ce1 Ce 0.000 0.000 0.000 1
Ce2 Ce 0.000 0.000 0.338 1
Sb1 Sb 0.000 0.000 0.168 1
Cl1 Cl 0.000 0.000 0.500 1
# Formation energy from raw total energies = -1129 meV per atom
# Magnetic moment = 6.1 μB per cell
# Raw total energy = -5.778 eV/atom

Entry 11:
# Ce4Sb3Cl4 (PBE-GGA, relaxed)
data_Ce4Sb3Cl4
_chemical_formula_sum 'Ce8 Sb6 Cl8'
_space_group_name_H-M_alt 'I m m m'
_space_group_IT_number 71
_space_group_name_Hall '-I 2 2'
_cell_length_a 4.296
_cell_length_b 8.823
_cell_length_c 15.743
_cell_angle_alpha 90.00
_cell_angle_beta 90.00
_cell_angle_gamma 90.00
loop_
_atom_site_label
_atom_site_type_symbol
_atom_site_fract_x
_atom_site_fract_y
_atom_site_fract_z
_atom_site_occupancy
Ce1 Ce 0.000 0.000 0.244 1
Ce2 Ce 0.000 0.228 0.500 1
Sb1 Sb 0.000 0.000 0.000 1
Sb2 Sb 0.000 0.500 0.101 1
Cl1 Cl 0.000 0.310 0.321 1
# Formation energy from raw total energies = -1496 meV per atom
# Magnetic moment = 5.9 μB per cell
# Raw total energy = -5.449 eV/atom

Entry 12:
# Ce2SbCl2 (PBE-GGA, relaxed)
data_Ce2SbCl2
_chemical_formula_sum 'Ce6 Sb3 Cl6'
_space_group_name_H-M_alt 'R -3 m'
_space_group_IT_number 166
_space_group_name_Hall '-R 3 2"'
_cell_length_a 4.3214
_cell_length_b 4.3214
_cell_length_c 30.4684
_cell_angle_alpha 90.00
_cell_angle_beta 90.00
_cell_angle_gamma 120.00
loop_
_atom_site_label
_atom_site_type_symbol
_atom_site_fract_x
_atom_site_fract_y
_atom_site_fract_z
_atom_site_occupancy
Ce1 Ce 0.0000 0.0000 0.1050 1
Sb1 Sb 0.0000 0.0000 0.5000 1
Cl1 Cl 0.0000 0.0000 0.2788 1
# Formation energy from raw total energies = -1602 meV per atom
# Magnetic moment = 7.4 μB per cell
# Raw total energy = -5.538 eV/atom

Entry 13:
# Ce2SbCl3 (PBE-GGA, relaxed)
data_Ce2SbCl3
_chemical_formula_sum 'Ce8 Sb4 Cl12'
_space_group_name_H-M_alt 'C 1 2/m 1'
_space_group_IT_number 12
_cell_length_a 16.201
_cell_length_b 4.384
_cell_length_c 11.243
_cell_angle_alpha 90.00
_cell_angle_beta 110.53
_cell_angle_gamma 90.00
loop_
_space_group_symop_operation_xyz
'x,y,z'
'-x,-y,-z'
'-x,y,-z'
'x,-y,z'
'x+1/2,y+1/2,z'
'-x+1/2,-y+1/2,-z'
'-x+1/2,y+1/2,-z'
'x+1/2,-y+1/2,z'
loop_
_atom_site_label
_atom_site_type_symbol
_atom_site_fract_x
_atom_site_fract_y
_atom_site_fract_z
_atom_site_occupancy
Ce1 Ce 0.019 0.000 0.188 1
Ce2 Ce 0.234 0.500 0.835 1
Sb1 Sb 0.116 0.500 0.023 1
Cl1 Cl 0.036 0.500 0.345 1
Cl2 Cl 0.131 0.000 0.715 1
Cl3 Cl 0.198 0.000 0.348 1
# Formation energy from raw total energies = -1738 meV per atom
# Magnetic moment = 8.0 μB per cell
# Raw total energy = -5.327 eV/atom

Entry 14:
# Ce6Sb5Cl (PBE-GGA, relaxed)
data_Ce6Sb5Cl
_chemical_formula_sum 'Ce12 Sb10 Cl2'
_space_group_name_H-M_alt 'C 1 2/m 1'
_space_group_IT_number 12
_cell_length_a 7.729
_cell_length_b 13.329
_cell_length_c 7.728
_cell_angle_alpha 90.00
_cell_angle_beta 109.36
_cell_angle_gamma 90.00
loop_
_space_group_symop_operation_xyz
'x,y,z'
'-x,-y,-z'
'-x,y,-z'
'x,-y,z'
'x+1/2,y+1/2,z'
'-x+1/2,-y+1/2,-z'
'-x+1/2,y+1/2,-z'
'x+1/2,-y+1/2,z'
loop_
_atom_site_label
_atom_site_type_symbol
_atom_site_fract_x
_atom_site_fract_y
_atom_site_fract_z
_atom_site_occupancy
Ce1 Ce 0.247 0.000 0.249 1
Ce2 Ce 0.248 0.165 0.748 1
Sb1 Sb 0.000 0.169 0.000 1
Sb2 Sb 0.000 0.334 0.500 1
Sb3 Sb 0.000 0.500 0.000 1
Cl1 Cl 0.000 0.000 0.500 1
# Formation energy from raw total energies = -1109 meV per atom
# Magnetic moment = 12.2 μB per cell
# Raw total energy = -5.948 eV/atom

Entry 15:
# Ce2SbCl2 (PBE-GGA, relaxed)
data_Ce2SbCl2
_chemical_formula_sum 'Ce4 Sb2 Cl4'
_space_group_name_H-M_alt 'C 1 2/m 1'
_space_group_IT_number 12
_cell_length_a 6.176
_cell_length_b 6.176
_cell_length_c 7.792
_cell_angle_alpha 90.00
_cell_angle_beta 113.11
_cell_angle_gamma 90.00
loop_
_space_group_symop_operation_xyz
'x,y,z'
'-x,-y,-z'
'-x,y,-z'
'x,-y,z'
'x+1/2,y+1/2,z'
'-x+1/2,-y+1/2,-z'
'-x+1/2,y+1/2,-z'
'x+1/2,-y+1/2,z'
loop_
_atom_site_label
_atom_site_type_symbol
_atom_site_fract_x
_atom_site_fract_y
_atom_site_fract_z
_atom_site_occupancy
Ce1 Ce 0.115 0.000 0.227 1
Sb1 Sb 0.000 0.500 0.000 1
Cl1 Cl 0.000 0.250 0.500 1
# Formation energy from raw total energies = -1454 meV per atom
# Magnetic moment = 5.9 μB per cell
# Raw total energy = -5.390 eV/atom

Entry 16:
# Ce5Sb4Cl (PBE-GGA, relaxed)
data_Ce5Sb4Cl
_chemical_formula_sum 'Ce10 Sb8 Cl2'
_space_group_name_H-M_alt 'I 4/m m m'
_space_group_IT_number 139
_space_group_name_Hall '-I 4 2'
_cell_length_a 4.448
_cell_length_b 4.448
_cell_length_c 31.250
_cell_angle_alpha 90.00
_cell_angle_beta 90.00
_cell_angle_gamma 90.00
loop_
_atom_site_label
_atom_site_type_symbol
_atom_site_fract_x
_atom_site_fract_y
_atom_site_fract_z
_atom_site_occupancy
Ce1 Ce 0.000 0.000 0.000 1
Ce2 Ce 0.000 0.000 0.200 1
Ce3 Ce 0.000 0.000 0.404 1
Sb1 Sb 0.000 0.000 0.099 1
Sb2 Sb 0.000 0.000 0.302 1
Cl1 Cl 0.000 0.000 0.500 1
# Formation energy from raw total energies = -1088 meV per atom
# Magnetic moment = 3.2 μB per cell
# Raw total energy = -5.888 eV/atom

Entry 17:
# Ce2Sb2Cl (PBE-GGA, relaxed)
data_Ce2Sb2Cl
_chemical_formula_sum 'Ce8 Sb8 Cl4'
_space_group_name_H-M_alt 'C m c m'
_space_group_IT_number 63
_space_group_name_Hall '-C 2c 2'
_cell_length_a 4.481
_cell_length_b 21.468
_cell_length_c 6.207
_cell_angle_alpha 90.00
_cell_angle_beta 90.00
_cell_angle_gamma 90.00
loop_
_atom_site_label
_atom_site_type_symbol
_atom_site_fract_x
_atom_site_fract_y
_atom_site_fract_z
_atom_site_occupancy
Ce1 Ce 0.000 0.083 0.250 1
Ce2 Ce 0.000 0.301 0.250 1
Sb1 Sb 0.000 0.306 0.750 1
Sb2 Sb 0.000 0.500 0.000 1
Cl1 Cl 0.000 0.121 0.750 1
# Formation energy from raw total energies = -1204 meV per atom
# Magnetic moment = 7.9 μB per cell
# Raw total energy = -5.596 eV/atom

Entry 18:
# Ce3SbCl2 (PBE-GGA, relaxed)
data_Ce3SbCl2
_chemical_formula_sum 'Ce12 Sb4 Cl8'
_space_group_name_H-M_alt 'I m m a'
_space_group_IT_number 74
_space_group_name_Hall '-I 2b 2'
_cell_length_a 6.961
_cell_length_b 10.666
_cell_length_c 10.043
_cell_angle_alpha 90.00
_cell_angle_beta 90.00
_cell_angle_gamma 90.00
loop_
_atom_site_label
_atom_site_type_symbol
_atom_site_fract_x
_atom_site_fract_y
_atom_site_fract_z
_atom_site_occupancy
Ce1 Ce 0.247 0.000 0.000 1
Ce2 Ce 0.250 0.250 0.250 1
Sb1 Sb 0.000 0.250 0.974 1
Cl1 Cl 0.000 0.024 0.265 1
# Formation energy from raw total energies = -982 meV per atom
# Magnetic moment = 19.2 μB per cell
# Raw total energy = -5.252 eV/atom

Entry 19:
# Ce4Sb3Cl (PBE-GGA, relaxed)
data_Ce4Sb3Cl
_chemical_formula_sum 'Ce12 Sb9 Cl3'
_space_group_name_H-M_alt 'R -3 m'
_space_group_IT_number 166
_space_group_name_Hall '-R 3 2"'
_cell_length_a 4.4408
_cell_length_b 4.4408
_cell_length_c 42.1476
_cell_angle_alpha 90.00
_cell_angle_beta 90.00
_cell_angle_gamma 120.00
loop_
_atom_site_label
_atom_site_type_symbol
_atom_site_fract_x
_atom_site_fract_y
_atom_site_fract_z
_atom_site_occupancy
Ce1 Ce 0.0000 0.0000 0.1225 1
Ce2 Ce 0.0000 0.0000 0.3684 1
Sb1 Sb 0.0000 0.0000 0.2549 1
Sb2 Sb 0.0000 0.0000 0.5000 1
Cl1 Cl 0.0000 0.0000 0.0000 1
# Formation energy from raw total energies = -1137 meV per atom
# Magnetic moment = 11.9 μB per cell
# Raw total energy = -5.880 eV/atom

Entry 20:
# CeScCl (PBE-GGA, relaxed)
data_CeScCl
_chemical_formula_sum 'Ce1 Sc1 Cl1'
_space_group_name_H-M_alt 'P 3 m 1'
_space_group_IT_number 156
_cell_length_a 3.3955
_cell_length_b 3.3955
_cell_length_c 7.1807
_cell_angle_alpha 90.00
_cell_angle_beta 90.00
_cell_angle_gamma 120.00
loop_
_space_group_symop_operation_xyz
'x,y,z'
'-y,x-y,z'
'-x+y,-x,z'
'-y,-x,z'
'-x+y,y,z'
'x,x-y,z'
loop_
_atom_site_label
_atom_site_type_symbol
_atom_site_fract_x
_atom_site_fract_y
_atom_site_fract_z
_atom_site_occupancy
Ce1 Ce 0.0000 0.0000 0.0000 1
Sc1 Sc 0.6667 0.3333 0.3764 1
Cl1 Cl 0.3333 0.6667 0.6378 1
# Formation energy from raw total energies = -807 meV per atom
# Magnetic moment = 1.2 μB per cell
# Raw total energy = -5.511 eV/atom